Version 1
Compound: PmGa2Ru2
Source: Alexandria via LeMat-Bulk
Functional: PBE
Structure: optimized geometry

## Properties
* M_tot: 0.0 Bohr magnetons per cell
* SG: I4/mmm (139)

Geometry as POSCAR:
```
PmGa2Ru2
1.0
-2.244 2.244 4.645
2.244 -2.244 4.645
2.244 2.244 -4.645
Pm Ga Ru
1 2 2
direct
0.000 0.000 0.000
0.361 0.361 0.000
0.639 0.639 0.000
0.250 0.750 0.500
0.750 0.250 0.500
```

Version 2
Compound: PmGa2Ru2
Source: Alexandria via LeMat-Bulk
Functional: PBE
Structure: optimized geometry

## Properties
* M_tot: 0.3 Bohr magnetons per cell
* SG: I4/mmm (139)

Geometry as POSCAR:
```
PmGa2Ru2
1.0
-2.031 2.031 11.187
2.031 -2.031 11.187
2.031 2.031 -11.187
Pm Ga Ru
2 4 4
direct
0.129 0.129 0.000
0.871 0.871 0.000
0.000 0.500 0.500
0.319 0.319 0.000
0.500 0.000 0.500
0.681 0.681 0.000
0.250 0.750 0.500
0.433 0.433 0.000
0.567 0.567 0.000
0.750 0.250 0.500
```

How do the energies compare? Relative to the most stable structure, in eV/atom: version 1 0.005; version 2 0.000.

Version 1
Compound: PmGaRu
Source: Alexandria via LeMat-Bulk
Functional: PBE
Structure: optimized geometry

## Properties
* M_tot: 0.0 Bohr magnetons per cell
* SG: P-6m2 (187)

Geometry as POSCAR:
```
PmGaRu
1.0
4.364 0.000 0.000
-2.182 3.779 0.000
0.000 0.000 3.831
Pm Ga Ru
1 1 1
direct
0.000 0.000 0.000
0.333 0.667 0.500
0.667 0.333 0.500
```

Version 2
Compound: PmGaRu
Source: Alexandria via LeMat-Bulk
Functional: PBE
Structure: optimized geometry

## Properties
* M_tot: 0.0 Bohr magnetons per cell
* SG: Fdd2 (43)

Geometry as POSCAR:
```
PmGaRu
1.0
0.000 5.025 4.312
2.807 0.000 4.312
2.807 5.025 0.000
Pm Ga Ru
2 2 2
direct
0.000 0.000 0.000
0.250 0.250 0.250
0.365 0.365 0.635
0.615 0.615 0.885
0.659 0.659 0.341
0.909 0.909 0.591
```

How do the energies compare? Relative to the most stable structure, in eV/atom: version 1 0.000; version 2 0.259.

Version 1
Compound: PmGaRu
Source: Alexandria via LeMat-Bulk
Functional: PBE
Structure: optimized geometry

## Properties
* M_tot: 0.0 Bohr magnetons per cell
* SG: Pnma (62)

Geometry as POSCAR:
```
PmGaRu
1.0
7.350 0.000 0.000
0.000 4.608 0.000
0.000 0.000 7.133
Pm Ga Ru
4 4 4
direct
0.024 0.250 0.194
0.476 0.750 0.694
0.524 0.250 0.306
0.976 0.750 0.806
0.191 0.250 0.606
0.309 0.750 0.106
0.691 0.250 0.894
0.809 0.750 0.394
0.159 0.750 0.438
0.341 0.250 0.938
0.659 0.750 0.062
0.841 0.250 0.562
```

Version 2
Compound: PmGaRu
Source: Alexandria via LeMat-Bulk
Functional: PBE
Structure: optimized geometry

## Properties
* M_tot: 0.0 Bohr magnetons per cell
* SG: F-43m (216)

Geometry as POSCAR:
```
PmGaRu
1.0
0.000 3.230 3.230
3.230 0.000 3.230
3.230 3.230 0.000
Pm Ga Ru
1 1 1
direct
0.000 0.000 0.000
0.500 0.500 0.500
0.250 0.250 0.250
```

How do the energies compare? Relative to the most stable structure, in eV/atom: version 1 0.000; version 2 0.320.

Version 1
Compound: Pm4Ga2Ru
Source: Alexandria via LeMat-Bulk
Functional: PBE
Structure: optimized geometry

## Properties
* M_tot: 0.0 Bohr magnetons per cell
* SG: C2/m (12)

Geometry as POSCAR:
```
Pm4Ga2Ru
1.0
8.470 -1.912 0.000
8.470 1.912 0.000
-2.198 0.000 5.853
Pm Ga Ru
4 2 1
direct
0.089 0.089 0.444
0.367 0.367 0.002
0.633 0.633 0.998
0.911 0.911 0.556
0.262 0.262 0.362
0.738 0.738 0.638
0.000 0.000 0.000
```

Version 2
Compound: Pm4Ga2Ru
Source: Alexandria via LeMat-Bulk
Functional: PBE
Structure: optimized geometry

## Properties
* M_tot: 0.0 Bohr magnetons per cell
* SG: I4/mmm (139)

Geometry as POSCAR:
```
Pm4Ga2Ru
1.0
-2.673 2.673 7.387
2.673 -2.673 7.387
2.673 2.673 -7.387
Pm Ga Ru
4 2 1
direct
0.000 0.500 0.500
0.187 0.187 0.000
0.500 0.000 0.500
0.813 0.813 0.000
0.385 0.385 0.000
0.615 0.615 0.000
0.000 0.000 0.000
```

Version 3
Compound: Pm4Ga2Ru
Source: Alexandria via LeMat-Bulk
Functional: PBE
Structure: optimized geometry

## Properties
* M_tot: 0.0 Bohr magnetons per cell
* SG: C2/m (12)

Geometry as POSCAR:
```
Pm4Ga2Ru
1.0
5.579 -2.403 0.000
5.579 2.403 0.000
-5.502 0.000 6.779
Pm Ga Ru
4 2 1
direct
0.081 0.081 0.374
0.331 0.331 0.955
0.669 0.669 0.045
0.919 0.919 0.626
0.340 0.340 0.325
0.660 0.660 0.675
0.000 0.000 0.000
```

How do the energies compare? Relative to the most stable structure, in eV/atom: version 1 0.107; version 2 0.268; version 3 0.000.

Version 1
Compound: Pm8Ga2Ru
Source: Alexandria via LeMat-Bulk
Functional: PBE
Structure: optimized geometry

## Properties
* M_tot: 0.0 Bohr magnetons per cell
* SG: C2/m (12)

Geometry as POSCAR:
```
Pm8Ga2Ru
1.0
9.062 -2.568 0.000
9.062 2.568 0.000
-1.394 0.000 6.725
Pm Ga Ru
8 2 1
direct
0.023 0.023 0.280
0.204 0.204 0.803
0.347 0.347 0.540
0.409 0.409 0.058
0.591 0.591 0.942
0.653 0.653 0.460
0.796 0.796 0.197
0.977 0.977 0.720
0.192 0.192 0.239
0.808 0.808 0.761
0.500 0.500 0.500
```

Version 2
Compound: Pm8Ga2Ru
Source: Alexandria via LeMat-Bulk
Functional: PBE
Structure: optimized geometry

## Properties
* M_tot: 0.0 Bohr magnetons per cell
* SG: Immm (71)

Geometry as POSCAR:
```
Pm8Ga2Ru
1.0
-2.721 3.483 8.124
2.721 -3.483 8.124
2.721 3.483 -8.124
Pm Ga Ru
8 2 1
direct
0.136 0.372 0.765
0.197 0.197 0.000
0.251 0.000 0.251
0.393 0.628 0.765
0.607 0.372 0.235
0.749 0.000 0.749
0.803 0.803 0.000
0.864 0.628 0.235
0.315 0.815 0.500
0.685 0.185 0.500
0.000 0.500 0.500
```

How do the energies compare? Relative to the most stable structure, in eV/atom: version 1 0.000; version 2 0.040.

Version 1
Compound: Pm3Ga3Ru2
Source: Alexandria via LeMat-Bulk
Functional: PBE
Structure: optimized geometry

## Properties
* M_tot: 0.0 Bohr magnetons per cell
* SG: Cmcm (63)

Geometry as POSCAR:
```
Pm3Ga3Ru2
1.0
2.259 -5.178 0.000
2.259 5.178 0.000
0.000 0.000 14.735
Pm Ga Ru
6 6 4
direct
0.094 0.906 0.609
0.094 0.906 0.891
0.399 0.601 0.750
0.601 0.399 0.250
0.906 0.094 0.109
0.906 0.094 0.391
0.295 0.705 0.250
0.385 0.615 0.543
0.385 0.615 0.957
0.615 0.385 0.043
0.615 0.385 0.457
0.705 0.295 0.750
0.213 0.787 0.083
0.213 0.787 0.417
0.787 0.213 0.583
0.787 0.213 0.917
```

Version 2
Compound: Pm3Ga3Ru2
Source: Alexandria via LeMat-Bulk
Functional: PBE
Structure: optimized geometry

## Properties
* M_tot: 0.0 Bohr magnetons per cell
* SG: Pnma (62)

Geometry as POSCAR:
```
Pm3Ga3Ru2
1.0
7.724 0.000 0.000
0.000 15.398 0.000
0.000 0.000 5.896
Pm Ga Ru
12 12 8
direct
0.036 0.107 0.110
0.036 0.393 0.110
0.169 0.250 0.627
0.331 0.750 0.127
0.464 0.607 0.610
0.464 0.893 0.610
0.536 0.107 0.390
0.536 0.393 0.390
0.669 0.250 0.873
0.831 0.750 0.373
0.964 0.607 0.890
0.964 0.893 0.890
0.162 0.037 0.593
0.162 0.463 0.593
0.174 0.750 0.616
0.326 0.250 0.116
0.338 0.537 0.093
0.338 0.963 0.093
0.662 0.037 0.907
0.662 0.463 0.907
0.674 0.750 0.884
0.826 0.250 0.384
0.838 0.537 0.407
0.838 0.963 0.407
0.134 0.607 0.371
0.134 0.893 0.371
0.366 0.107 0.871
0.366 0.393 0.871
0.634 0.607 0.129
0.634 0.893 0.129
0.866 0.107 0.629
0.866 0.393 0.629
```

How do the energies compare? Relative to the most stable structure, in eV/atom: version 1 0.000; version 2 0.013.

Version 1
Compound: Pm3GaRu2
Source: Alexandria via LeMat-Bulk
Functional: PBE
Structure: optimized geometry

## Properties
* M_tot: 0.0 Bohr magnetons per cell
* SG: Immm (71)

Geometry as POSCAR:
```
Pm3GaRu2
1.0
-2.136 2.150 7.474
2.136 -2.150 7.474
2.136 2.150 -7.474
Pm Ga Ru
3 1 2
direct
0.000 0.000 0.000
0.320 0.820 0.500
0.680 0.180 0.500
0.500 0.500 0.000
0.125 0.625 0.500
0.875 0.375 0.500
```

Version 2
Compound: Pm3GaRu2
Source: Alexandria via LeMat-Bulk
Functional: PBE
Structure: optimized geometry

## Properties
* M_tot: 0.0 Bohr magnetons per cell
* SG: C2/m (12)

Geometry as POSCAR:
```
Pm3GaRu2
1.0
7.311 -2.125 0.000
7.311 2.125 0.000
-4.015 0.000 10.162
Pm Ga Ru
6 2 4
direct
0.051 0.051 0.263
0.212 0.212 0.603
0.355 0.355 0.998
0.645 0.645 0.002
0.788 0.788 0.397
0.949 0.949 0.737
0.407 0.407 0.308
0.593 0.593 0.692
0.158 0.158 0.830
0.407 0.407 0.550
0.593 0.593 0.450
0.842 0.842 0.170
```

How do the energies compare? Relative to the most stable structure, in eV/atom: version 1 0.000; version 2 0.077.

Version 1
Compound: Pm12GaRu6
Source: Alexandria via LeMat-Bulk
Functional: PBE
Structure: optimized geometry

## Properties
* M_tot: 0.0 Bohr magnetons per cell
* SG: Im-3 (204)

Geometry as POSCAR:
```
Pm12GaRu6
1.0
-5.025 5.025 5.025
5.025 -5.025 5.025
5.025 5.025 -5.025
Pm Ga Ru
12 1 6
direct
0.100 0.805 0.296
0.195 0.296 0.491
0.195 0.704 0.900
0.296 0.100 0.805
0.296 0.491 0.195
0.491 0.195 0.296
0.509 0.805 0.704
0.704 0.509 0.805
0.704 0.900 0.195
0.805 0.296 0.100
0.805 0.704 0.509
0.900 0.195 0.704
0.000 0.000 0.000
0.122 0.622 0.500
0.378 0.500 0.878
0.500 0.122 0.622
0.500 0.878 0.378
0.622 0.500 0.122
0.878 0.378 0.500
```

Version 2
Compound: Pm12GaRu6
Source: Alexandria via LeMat-Bulk
Functional: PBE
Structure: optimized geometry

## Properties
* M_tot: 0.0 Bohr magnetons per cell
* SG: R-3 (148)

Geometry as POSCAR:
```
Pm12GaRu6
1.0
6.524 3.767 3.721
-6.524 3.767 3.721
0.000 -7.534 3.721
Pm Ga Ru
12 1 6
direct
0.077 0.922 0.332
0.078 0.668 0.923
0.178 0.414 0.552
0.332 0.077 0.922
0.414 0.552 0.178
0.448 0.822 0.586
0.552 0.178 0.414
0.586 0.448 0.822
0.668 0.923 0.078
0.822 0.586 0.448
0.922 0.332 0.077
0.923 0.078 0.668
0.000 0.000 0.000
0.142 0.609 0.303
0.303 0.142 0.609
0.391 0.697 0.858
0.609 0.303 0.142
0.697 0.858 0.391
0.858 0.391 0.697
```

How do the energies compare? Relative to the most stable structure, in eV/atom: version 1 0.000; version 2 0.092.